Below is Cd7Ag2Pd2 after structural relaxation, with properties calculated at the PBE level.

The total DFT energy (no corrections) comes out at -24.381 eV per cell. The formation energy comes out at -172 meV per atom. The calculation puts the density of states at the Fermi level at 0.347 states/eV per atom. As for the space group: No. 44. The value obtained for the total magnetization is 0.000 Bohr magnetons per cell.

a b c (Å): 4.499 7.731 7.731
angles (deg): 58.97 73.08 73.08
Sites, in units of the cell vectors:
Cd: 0.846 0.062 0.245
Cd: 0.856 0.464 0.825
Cd: 0.500 0.964 0.036
Cd: 0.645 0.481 0.228
Cd: 0.355 0.772 0.519
Cd: 0.154 0.755 0.938
Cd: 0.144 0.175 0.536
Ag: 0.000 0.621 0.379
Ag: 0.500 0.333 0.667
Pd: 0.710 0.904 0.677
Pd: 0.290 0.323 0.096